The following is a DFT calculation (PBE with a Hubbard U) of CsW2O6 after structural relaxation.

Unit cell a=7.4396 b=7.4396 c=7.4396 alpha=60.00 beta=60.00 gamma=60.00
Closest atoms and distances in Å follow each position.
Fractional coordinates of all 18 atoms:
Cs 0.1250 0.1250 0.1250  6 O 3.31
Cs 0.8750 0.8750 0.8750  6 O 3.31
W 0.0000 0.5000 0.5000  6 O 1.97
W 0.5000 0.0000 0.5000  6 O 1.97
W 0.5000 0.5000 0.0000  6 O 1.97
W 0.5000 0.5000 0.5000  6 O 1.97
O 0.1894 0.1894 0.5606  2 W 1.97
O 0.1894 0.5606 0.1894  2 W 1.97
O 0.1894 0.5606 0.5606  2 W 1.97
O 0.4394 0.4394 0.8106  2 W 1.97
O 0.4394 0.8106 0.4394  2 W 1.97
O 0.4394 0.8106 0.8106  2 W 1.97
O 0.5606 0.1894 0.1894  2 W 1.97
O 0.5606 0.1894 0.5606  2 W 1.97
O 0.5606 0.5606 0.1894  2 W 1.97
O 0.8106 0.4394 0.4394  2 W 1.97
O 0.8106 0.4394 0.8106  2 W 1.97
O 0.8106 0.8106 0.4394  2 W 1.97

Output
calculated total energy: -7.05 eV per atom
space group: Fd-3m (227)
size of the total moment: 1.00 μB/f.u.